Density functional theory data (PBE) for a relaxed structure of Nd2Sm3Er6.

Cell: 6.133 6.140 11.657 Å, 84.95 79.85 60.04°
Element x y z (fractional)
Er: 0.083 0.333 0.751
Sm: 0.664 0.672 0.000
Sm: 0.336 0.328 0.000
Nd: 0.167 0.667 0.500
Er: 0.251 0.000 0.249
Er: 0.749 0.000 0.751
Er: 0.917 0.667 0.249
Nd: 0.833 0.333 0.500
Er: 0.584 0.333 0.249
Sm: 0.000 0.000 0.000
Er: 0.416 0.667 0.751

Computed properties:
The uncorrected energy is -0.3276 Ry/atom. The relative energy among the computed polymorphs comes out at 0 meV/atom. Its density of states at the Fermi level is 1.47 states/eV/atom. Its magnetization is 0.0 μB/f.u. As for the formation energy: 0.186 eV/atom.

=====

Density functional theory data (PBE) for a relaxed structure of NdSm9Er2.

Cell: 5.106 5.106 15.317 Å, 90.00 90.00 90.00°
Element x y z (fractional)
Sm: 0.500 0.500 0.000
Sm: 0.500 0.500 0.665
Sm: 0.500 0.000 0.500
Er: 0.000 0.000 0.335
Sm: 0.500 0.500 0.335
Sm: 0.000 0.500 0.500
Er: 0.000 0.000 0.665
Sm: 0.000 0.500 0.831
Sm: 0.500 0.000 0.831
Nd: 0.000 0.000 0.000
Sm: 0.500 0.000 0.169
Sm: 0.000 0.500 0.169

Computed properties:
The uncorrected energy is -0.3438 Ry/atom. Its density of states at the Fermi level is 1.63 states/eV/atom. Its magnetization is 0.0 μB/f.u. As for the formation energy: 0.019 eV/atom.

=====

Density functional theory data (PBE) for a relaxed structure of Nd12SmEr7.

Cell: 6.217 11.536 11.536 Å, 116.85 100.35 100.35°
Element x y z (fractional)
Nd: 0.087 0.587 0.175
Er: 0.500 0.000 0.000
Nd: 0.912 0.825 0.412
Nd: 0.583 0.647 0.001
Er: 0.126 0.999 0.755
Er: 0.127 0.756 0.001
Nd: 0.088 0.175 0.588
Nd: 0.417 0.353 0.999
Er: 0.873 0.244 0.999
Nd: 0.417 0.001 0.354
Er: 0.874 0.001 0.245
Er: 0.629 0.755 0.756
Er: 0.371 0.245 0.244
Sm: 0.000 0.000 0.000
Nd: 0.500 0.588 0.413
Nd: 0.063 0.646 0.647
Nd: 0.583 0.999 0.646
Nd: 0.937 0.354 0.353
Nd: 0.500 0.412 0.587
Nd: 0.913 0.413 0.825

Computed properties:
The uncorrected energy is -0.3269 Ry/atom. The relative energy among the computed polymorphs comes out at 96 meV/atom. Its density of states at the Fermi level is 1.46 states/eV/atom. Its magnetization is 0.0 μB/f.u. As for the formation energy: 0.246 eV/atom.

=====

Density functional theory data (PBE) for a relaxed structure of Nd4Sm4Er5.

Cell: 5.078 9.540 9.540 Å, 85.94 74.57 74.57°
Element x y z (fractional)
Er: 0.539 0.773 0.150
Sm: 0.848 0.924 0.381
Er: 0.461 0.227 0.850
Nd: 0.921 0.462 0.696
Er: 0.000 0.000 0.000
Er: 0.311 0.150 0.227
Er: 0.689 0.850 0.773
Sm: 0.152 0.076 0.619
Nd: 0.079 0.538 0.304
Sm: 0.228 0.619 0.924
Nd: 0.617 0.304 0.462
Sm: 0.772 0.381 0.076
Nd: 0.383 0.696 0.538

Computed properties:
The uncorrected energy is -0.3422 Ry/atom. Its density of states at the Fermi level is 1.42 states/eV/atom. Its magnetization is 0.0 μB/f.u. As for the formation energy: 0.019 eV/atom.

=====

Density functional theory data (PBE) for a relaxed structure of Nd3Sm5Er2.

Cell: 11.102 10.023 10.023 Å, 56.54 56.37 56.37°
Element x y z (fractional)
Nd: 0.626 0.623 0.124
Nd: 0.874 0.876 0.377
Er: 0.127 0.787 0.960
Er: 0.627 0.960 0.787
Sm: 0.999 0.251 0.251
Er: 0.873 0.213 0.040
Nd: 0.750 0.000 0.000
Sm: 0.499 0.251 0.251
Sm: 0.250 0.500 0.500
Sm: 0.501 0.749 0.749
Nd: 0.126 0.124 0.623
Sm: 0.379 0.721 0.522
Nd: 0.374 0.377 0.876
Sm: 0.001 0.749 0.749
Sm: 0.621 0.279 0.478
Er: 0.373 0.040 0.213
Sm: 0.121 0.478 0.279
Nd: 0.250 0.000 0.000
Sm: 0.750 0.500 0.500
Sm: 0.879 0.522 0.721

Computed properties:
The uncorrected energy is -0.3185 Ry/atom. The relative energy among the computed polymorphs comes out at 186 meV/atom. Its density of states at the Fermi level is 1.53 states/eV/atom. Its magnetization is 0.0 μB/f.u. As for the formation energy: 0.369 eV/atom.

=====

Density functional theory data (PBE) for a relaxed structure of Nd3Sm2Er4.

Cell: 6.153 11.269 11.269 Å, 62.73 63.04 63.04°
Element x y z (fractional)
Sm: 0.433 0.265 0.514
Er: 0.577 0.057 0.827
Sm: 0.067 0.486 0.735
Er: 0.096 0.154 0.385
Nd: 0.763 0.018 0.308
Sm: 0.933 0.514 0.265
Er: 0.596 0.385 0.154
Nd: 0.263 0.308 0.018
Sm: 0.567 0.735 0.486
Er: 0.423 0.943 0.173
Er: 0.077 0.827 0.057
Nd: 0.737 0.692 0.982
Nd: 0.237 0.982 0.692
Er: 0.404 0.615 0.846
Er: 0.904 0.846 0.615
Er: 0.923 0.173 0.943
Nd: 0.250 0.636 0.364
Nd: 0.750 0.364 0.636

Computed properties:
The uncorrected energy is -0.3358 Ry/atom. The relative energy among the computed polymorphs comes out at 79 meV/atom. Its density of states at the Fermi level is 1.52 states/eV/atom. Its magnetization is 0.0 μB/f.u. As for the formation energy: 0.097 eV/atom.

=====

Density functional theory data (PBE) for a relaxed structure of NdSm7Er2.

Cell: 5.549 8.999 9.607 Å, 118.00 106.76 51.93°
Element x y z (fractional)
Sm: 0.000 0.801 0.601
Sm: 0.249 0.361 0.219
Sm: 0.000 0.199 0.399
Er: 0.500 0.699 0.399
Sm: 0.500 0.500 0.000
Nd: 0.000 0.000 0.000
Sm: 0.248 0.142 0.781
Sm: 0.752 0.858 0.219
Sm: 0.751 0.639 0.781
Er: 0.500 0.301 0.601

Computed properties:
The uncorrected energy is -0.3416 Ry/atom. The relative energy among the computed polymorphs comes out at 0 meV/atom. Its density of states at the Fermi level is 1.55 states/eV/atom. Its magnetization is 0.0 μB/f.u. As for the formation energy: 0.045 eV/atom.

=====

Density functional theory data (PBE) for a relaxed structure of Nd6SmEr2.

Cell: 5.767 12.088 12.088 Å, 48.48 103.72 103.72°
Element x y z (fractional)
Er: 0.999 0.333 0.167
Nd: 0.335 0.669 0.502
Nd: 0.837 0.168 0.003
Nd: 0.080 0.080 0.580
Er: 0.499 0.167 0.333
Nd: 0.835 0.502 0.669
Nd: 0.337 0.003 0.168
Nd: 0.663 0.997 0.832
Sm: 0.750 0.750 0.250
Sm: 0.250 0.250 0.750
Nd: 0.665 0.331 0.498
Er: 0.001 0.667 0.833
Nd: 0.165 0.498 0.331
Nd: 0.163 0.832 0.997
Nd: 0.920 0.920 0.420
Nd: 0.420 0.420 0.920
Nd: 0.580 0.580 0.080
Er: 0.501 0.833 0.667

Computed properties:
The uncorrected energy is -0.3424 Ry/atom. The relative energy among the computed polymorphs comes out at 0 meV/atom. Its density of states at the Fermi level is 1.40 states/eV/atom. Its magnetization is 0.0 μB/f.u. As for the formation energy: 0.058 eV/atom.

=====

Question: Number 3 is which compound?
Answer: Nd12SmEr7

=====

What did the first record say?
Density functional theory data (PBE) for a relaxed structure of Nd2Sm3Er6.

Cell: 6.133 6.140 11.657 Å, 84.95 79.85 60.04°
Element x y z (fractional)
Er: 0.083 0.333 0.751
Sm: 0.664 0.672 0.000
Sm: 0.336 0.328 0.000
Nd: 0.167 0.667 0.500
Er: 0.251 0.000 0.249
Er: 0.749 0.000 0.751
Er: 0.917 0.667 0.249
Nd: 0.833 0.333 0.500
Er: 0.584 0.333 0.249
Sm: 0.000 0.000 0.000
Er: 0.416 0.667 0.751

Computed properties:
The uncorrected energy is -0.3276 Ry/atom. The relative energy among the computed polymorphs comes out at 0 meV/atom. Its density of states at the Fermi level is 1.47 states/eV/atom. Its magnetization is 0.0 μB/f.u. As for the formation energy: 0.186 eV/atom.

=====

Question: formation energy of number 5 (Nd3Sm5Er2)?
Answer: 0.369 eV/atom